Below is crystalline Li3ReO at its relaxed geometry, with properties calculated at the GGA-PBEsol level.

Computed properties:
As for the calculated total energy: -3.21 eV per atom. The formation energy (no corrections) is 1683.9 meV per atom. Its space-group type is Pm-3m.

a = 4.854 Å, b = 4.854 Å, c = 4.854 Å
α = 90.00°, β = 90.00°, γ = 90.00°
Last column: magnetic moment on the atom in μB.
Element x y z (fractional)
Re1 0.000 0.000 0.000  2.68
O1 0.500 0.500 0.500  0.74
Li1 0.000 0.500 0.000  0.01
Li2 0.000 0.000 0.500  0.01
Li3 0.500 0.000 0.000  0.01